(1)
{"formula": "LaY2Au", "functional": "SCAN", "state": "PBEsol geometry", "dft_energy_ev_per_cell": -170.1, "mass_density_kg_m3": 7815, "n_ef_per_ev_atom": 1.2443, "lattice": [[-0.585, -2.463, -2.549], [3.448, 0.204, -0.988], [1.936, -6.138, 5.487]], "species": ["Y", "Y", "Au", "La"], "fractional_positions": [[0.000, 0.000, 0.800], [0.000, 0.000, 0.200], [0.500, 0.500, 0.000], [0.500, 0.500, 0.500]]}

(2)
{"formula": "LaYAu2", "functional": "SCAN", "state": "PBEsol geometry", "dft_energy_ev_per_cell": -213.2, "mass_density_kg_m3": 9590, "n_ef_per_ev_atom": 0.7219, "lattice": [[-3.926, 0.890, -1.350], [0.894, -1.759, -3.759], [-1.896, -5.290, 2.024]], "species": ["Au", "Au", "La", "Y"], "fractional_positions": [[0.000, 0.000, 0.875], [0.500, 0.500, 0.374], [0.000, 0.000, 0.375], [0.500, 0.500, 0.875]]}

| no. | M_tot (μB per atom) |
| --- | --- |
| 1 | 0.000 |
| 2 | 0.000 |